No. 1
Here is a geometry-optimized MgInSi2 structure from the Alexandria database. Energies are from PBE.

```
MgInSi2
1.0
-2.037 2.241 4.225
2.037 -2.241 4.225
2.037 2.241 -4.225
Mg In Si
1 1 2
Cartesian
0.000 0.000 0.000
0.000 0.000 4.225
2.037 0.000 2.098
0.000 2.241 2.128
```

Summary:
Its raw total energy is -13.939 eV/cell.

=====

No. 2
Here is a geometry-optimized YPtNO2 structure from the Alexandria database. Energies are from PBE.

```
YPtNO2
1.0
4.070 0.000 0.000
0.000 4.070 0.000
0.000 0.000 3.890
Y Pt N O
1 1 1 2
Cartesian
0.000 0.000 0.000
2.035 2.035 1.945
2.035 2.035 0.000
0.000 2.035 1.945
2.035 0.000 1.945
```

Summary:
Its raw total energy is -34.550 eV/cell.

=====

No. 3
Here is a geometry-optimized Sc2Be2Hg structure from the Alexandria database. Energies are from PBE.

```
Sc2Be2Hg
1.0
6.590 0.000 0.000
0.000 6.590 0.000
0.000 0.000 3.838
Sc Be Hg
4 4 2
Cartesian
1.121 2.175 0.000
2.175 5.470 0.000
4.416 1.121 0.000
5.470 4.416 0.000
0.782 4.077 1.919
2.513 0.782 1.919
4.077 5.809 1.919
5.809 2.513 1.919
0.000 0.000 1.919
3.295 3.295 1.919
```

Summary:
Its formation energy is -0.192 eV/atom.

=====

No. 4
Here is a geometry-optimized Tl2HgBr2 structure from the Alexandria database. Energies are from PBE.

```
Tl2HgBr2
1.0
6.592 0.000 0.000
0.000 4.708 0.000
-2.269 0.000 12.666
Tl Hg Br
4 2 4
Cartesian
0.422 1.177 2.601
0.597 1.177 7.456
3.725 3.531 5.210
3.901 3.531 10.065
2.032 3.531 0.400
2.291 1.177 12.266
0.406 3.531 4.740
0.634 3.531 9.606
3.689 1.177 3.060
3.916 1.177 7.926
```

Summary:
Its raw total energy is -23.206 eV/cell.